1.
Here is an optimized crystal structure of TaPb2Au from Alexandria. Energies are from PBE.

uncorrected energy	-5.48	eV/atom
energy above the most stable polymorph in this dataset	0	meV per atom
crystal system	tetragonal

Cell lengths 3.1641, 3.1641, 9.8184 Å; angles 90.00, 90.00, 90.00 degrees
Last column: nearest neighbours and their distance in Å.
Space group P4mm (No. 99)
Unique sites:
Ta 0.0000 0.0000 0.0000  4 Au 2.83, 4 Ta 3.16
Pb 0.0000 0.0000 0.4079  4 Pb 3.16, 4 Au 3.19
Pb 0.5000 0.5000 0.7620  4 Pb 3.16, 4 Ta 3.24
Au 0.5000 0.5000 0.1758  4 Ta 2.83, 4 Au 3.16

2.
Here is an optimized crystal structure of CdInHg2 from Alexandria. Energies are from PBE.

uncorrected energy	-1.04	eV/atom
crystal system	orthorhombic

Cell lengths 3.3208, 4.8684, 6.3489 Å; angles 90.00, 90.00, 90.00 degrees
Last column: nearest neighbours and their distance in Å.
Space group Pmm2 (No. 25)
Unique sites:
Cd 0.0000 0.0000 0.0000  6 Hg 3.13-3.29, 2 Cd 3.32, 4 In 3.39
In 0.5000 0.5000 0.7346  6 Hg 3.14-3.32, 2 In 3.32, 4 Cd 3.39
Hg 0.0000 0.0000 0.4937  2 Cd 3.13-3.21, 4 In 3.32, 6 Hg 3.32-3.39
Hg 0.5000 0.5000 0.2293  2 In 3.14-3.21, 4 Cd 3.29, 6 Hg 3.32-3.39

3.
Here is an optimized crystal structure of Cd2HgBSe from Alexandria. Energies are from PBE.

uncorrected energy	-1.64	eV/atom
crystal system	tetragonal
E_form (uncorrected)	820	meV per atom

Cell lengths 5.6751, 5.6751, 4.0527 Å; angles 90.00, 90.00, 90.00 degrees
Last column: nearest neighbours and their distance in Å.
Space group P4/mmm (No. 123)
Unique sites:
Cd 0.0000 0.5000 0.0000  2 Se 2.84
Hg 0.0000 0.0000 0.5000  8 Cd 3.49
B 0.5000 0.5000 0.5000  2 Se 2.03
Se 0.5000 0.5000 0.0000  2 B 2.03

4.
Here is an optimized crystal structure of Zr2PaPd from Alexandria. Energies are from PBE.

uncorrected energy	-7.99	eV/atom
energy above the most stable polymorph in this dataset	218	meV per atom
crystal system	cubic

Cell lengths 6.9250, 6.9250, 6.9250 Å; angles 90.00, 90.00, 90.00 degrees
Last column: nearest neighbours and their distance in Å.
Space group Fm-3m (No. 225)
Unique sites:
Zr 0.2500 0.2500 0.2500  4 Pa 3.00, 4 Pd 3.00
Pa 0.0000 0.0000 0.0000  8 Zr 3.00
Pd 0.0000 0.0000 0.5000  8 Zr 3.00

5.
Here is an optimized crystal structure of Mg2FeHAu from Alexandria. Energies are from PBE.

uncorrected energy	-3.83	eV/atom
crystal system	tetragonal

Cell lengths 4.3474, 4.3474, 3.5626 Å; angles 90.00, 90.00, 90.00 degrees
Last column: nearest neighbours and their distance in Å.
Space group P4/mmm (No. 123)
Unique sites:
Mg 0.0000 0.5000 0.0000  2 H 2.17
Fe 0.0000 0.0000 0.5000  2 H 1.78
H 0.0000 0.0000 0.0000  2 Fe 1.78
Au 0.5000 0.5000 0.5000  8 Mg 2.81, 4 Fe 3.07

6.
Here is an optimized crystal structure of CeYTl from Alexandria. Energies are from PBE.

uncorrected energy	-5.05	eV/atom
energy above the most stable polymorph in this dataset	103	meV per atom
crystal system	tetragonal

Cell lengths 3.5623, 3.5623, 14.1477 Å; angles 90.00, 90.00, 90.00 degrees
Last column: nearest neighbours and their distance in Å.
Space group I4mm (No. 107)
Unique sites:
Ce 0.0000 0.0000 0.0000  4 Tl 3.40, 4 Ce 3.56, 4 Y 3.66
Y 0.0000 0.0000 0.6877  4 Tl 3.30, 4 Y 3.56, 4 Ce 3.66
Tl 0.0000 0.0000 0.3388  4 Y 3.30, 4 Ce 3.40, 4 Tl 3.56

7.
Here is an optimized crystal structure of DyCuHg from Alexandria. Energies are from PBE.

uncorrected energy	-3.36	eV/atom
crystal system	orthorhombic

Cell lengths 13.1811, 3.7766, 7.5780 Å; angles 90.00, 90.00, 90.00 degrees
Last column: nearest neighbours and their distance in Å.
Space group Pmma (No. 51)
Unique sites:
Dy 0.0478 0.0000 0.2378  5 Cu 2.95-3.10, 4 Hg 3.19-3.29
Dy 0.2500 0.0000 0.8448  5 Cu 2.95-3.02, 6 Hg 3.19-3.29
Cu 0.0886 0.5000 0.9456  1 Cu 2.48
Cu 0.2500 0.0000 0.4460  6 Hg 2.74-2.77, 1 Dy 3.02
Hg 0.1157 0.5000 0.5770  3 Cu 2.77-2.82
Hg 0.2500 0.5000 0.1833  4 Cu 2.74-2.79

8.
Here is an optimized crystal structure of NiH2W2 from Alexandria. Energies are from PBE.

uncorrected energy	-7.34	eV/atom
energy above the most stable polymorph in this dataset	52	meV per atom
crystal system	tetragonal

Cell lengths 5.9026, 5.9026, 2.7496 Å; angles 90.00, 90.00, 90.00 degrees
Last column: nearest neighbours and their distance in Å.
Space group P4/mbm (No. 127)
Unique sites:
Ni 0.0000 0.0000 0.0000  4 H 2.22
H 0.1582 0.3418 0.0000  2 W 2.05, 2 Ni 2.22
W 0.1590 0.6590 0.5000  2 H 2.05

| no. | magnetization (μB per cell) |
| --- | --- |
| 1 | 0.00 |
| 2 | 0.00 |
| 3 | 0.00 |
| 4 | 0.00 |
| 5 | 2.27 |
| 6 | 2.22 |
| 7 | 0.00 |
| 8 | 0.00 |